Entry 1:
VASP calculation (GGA-PBE) on Pr12SnRu5 after structural relaxation.

Results
Symmetry: No. 71
Crystal system: orthorhombic

Lattice parameters (Å, degrees): 8.749 8.749 8.749 105.38 112.57 110.55
Fractional positions:
Ru  0.665  0.665  0.000
Ru  0.335  0.335  0.000
Ru  0.000  0.000  0.000
Ru  0.500  0.121  0.621
Ru  0.500  0.879  0.379
Pr  0.537  0.820  0.718
Pr  0.812  0.036  0.224
Pr  0.188  0.964  0.776
Pr  0.685  0.327  0.013
Pr  0.685  0.673  0.358
Pr  0.315  0.327  0.642
Pr  0.188  0.413  0.224
Pr  0.898  0.180  0.718
Pr  0.315  0.673  0.987
Pr  0.102  0.820  0.282
Pr  0.812  0.587  0.776
Pr  0.463  0.180  0.282
Sn  0.000  0.500  0.500

***

Entry 2:
VASP calculation (GGA-PBE) on Pr3Sn2Ru after structural relaxation.

Results
Symmetry: No. 62
Crystal system: orthorhombic

Lattice parameters (Å, degrees): 4.455 12.132 12.891 90.00 90.00 90.00
Fractional positions:
Sn  0.250  0.808  0.995
Sn  0.250  0.494  0.809
Sn  0.750  0.308  0.505
Sn  0.750  0.192  0.005
Sn  0.250  0.006  0.309
Sn  0.750  0.994  0.691
Sn  0.750  0.506  0.191
Sn  0.250  0.692  0.495
Pr  0.250  0.711  0.238
Pr  0.750  0.289  0.762
Pr  0.750  0.211  0.262
Pr  0.250  0.047  0.881
Pr  0.750  0.872  0.447
Pr  0.750  0.628  0.947
Pr  0.750  0.547  0.619
Pr  0.250  0.128  0.553
Pr  0.250  0.372  0.053
Pr  0.250  0.789  0.738
Pr  0.250  0.453  0.381
Pr  0.750  0.953  0.119
Ru  0.750  0.867  0.871
Ru  0.750  0.633  0.371
Ru  0.250  0.133  0.129
Ru  0.250  0.367  0.629

***

Entry 3:
VASP calculation (GGA-PBE) on Pr2Sn5Ru3 after structural relaxation.

Results
Symmetry: No. 36
Crystal system: orthorhombic

Lattice parameters (Å, degrees): 4.527 7.286 13.624 90.00 99.56 90.00
Fractional positions:
Pr  0.174  0.733  0.347
Pr  0.523  0.255  0.045
Pr  0.826  0.233  0.653
Pr  0.477  0.755  0.955
Sn  0.877  0.747  0.754
Sn  0.597  0.884  0.194
Sn  0.403  0.384  0.806
Sn  0.050  0.585  0.101
Sn  0.710  0.018  0.420
Sn  0.123  0.247  0.246
Sn  0.290  0.518  0.580
Sn  0.950  0.085  0.899
Sn  0.707  0.439  0.413
Sn  0.293  0.939  0.587
Ru  0.050  0.970  0.100
Ru  0.950  0.470  0.900
Ru  0.606  0.506  0.213
Ru  0.394  0.006  0.787
Ru  0.776  0.727  0.552
Ru  0.224  0.227  0.448

***

Entry 4:
VASP calculation (GGA-PBE) on Pr6SnRu after structural relaxation.

Results
Symmetry: No. 12
Crystal system: monoclinic

Lattice parameters (Å, degrees): 6.694 8.139 6.589 51.86 81.03 75.38
Fractional positions:
Pr  0.632  0.791  0.000
Pr  0.368  0.209  0.000
Pr  0.789  0.566  0.626
Pr  0.211  0.434  0.374
Pr  0.789  0.192  0.374
Pr  0.211  0.808  0.626
Sn  0.000  0.000  0.000
Ru  0.500  0.500  0.000

***

Entry 5:
VASP calculation (GGA-PBE) on Pr3SnRu after structural relaxation.

Results
Energy relative to the lowest polymorph listed for this composition: 155 meV per atom
Symmetry: No. 221
Crystal system: cubic

Lattice parameters (Å, degrees): 5.448 5.448 5.448 90.00 90.00 90.00
Fractional positions:
Pr  0.500  0.000  0.000
Pr  0.000  0.000  0.500
Pr  0.000  0.500  0.000
Ru  0.000  0.000  0.000
Sn  0.500  0.500  0.500

***

Entry 6:
VASP calculation (GGA-PBE) on Pr4SnRu after structural relaxation.

Results
Symmetry: No. 15
Crystal system: monoclinic

Lattice parameters (Å, degrees): 6.382 8.574 8.410 113.70 103.57 106.51
Fractional positions:
Pr  0.047  0.211  0.865
Pr  0.217  0.289  0.353
Pr  0.783  0.711  0.647
Pr  0.637  0.064  0.353
Pr  0.317  0.654  0.865
Pr  0.953  0.789  0.135
Pr  0.363  0.936  0.647
Pr  0.683  0.346  0.135
Ru  0.250  0.000  0.999
Ru  0.750  0.000  0.001
Sn  0.376  0.626  0.252
Sn  0.624  0.374  0.748

***

Entry 7:
VASP calculation (GGA-PBE) on PrSn8Ru2 after structural relaxation.

Results
Symmetry: No. 123
Crystal system: tetragonal

Lattice parameters (Å, degrees): 6.427 6.427 7.824 90.00 90.00 90.00
Fractional positions:
Sn  0.246  0.246  0.202
Sn  0.754  0.754  0.202
Sn  0.246  0.754  0.202
Sn  0.754  0.246  0.202
Sn  0.246  0.246  0.798
Sn  0.754  0.754  0.798
Sn  0.754  0.246  0.798
Sn  0.246  0.754  0.798
Ru  0.000  0.500  0.000
Ru  0.500  0.000  0.000
Pr  0.500  0.500  0.500

***

Entry 8:
VASP calculation (GGA-PBE) on Pr3Sn13Ru4 after structural relaxation.

Results
Symmetry: No. 223
Crystal system: cubic

Lattice parameters (Å, degrees): 9.836 9.836 9.836 90.00 90.00 90.00
Fractional positions:
Ru  0.250  0.750  0.250
Ru  0.250  0.250  0.750
Ru  0.750  0.750  0.250
Ru  0.250  0.750  0.750
Ru  0.250  0.250  0.250
Ru  0.750  0.250  0.250
Ru  0.750  0.250  0.750
Ru  0.750  0.750  0.750
Sn  0.500  0.198  0.345
Sn  0.845  0.698  0.000
Sn  0.500  0.500  0.500
Sn  0.198  0.655  0.500
Sn  0.345  0.500  0.802
Sn  0.345  0.500  0.198
Sn  0.155  0.302  0.000
Sn  0.655  0.500  0.198
Sn  0.000  0.155  0.302
Sn  0.845  0.302  0.000
Sn  0.802  0.655  0.500
Sn  0.802  0.345  0.500
Sn  0.000  0.845  0.698
Sn  0.000  0.845  0.302
Sn  0.698  0.000  0.155
Sn  0.500  0.802  0.345
Sn  0.302  0.000  0.845
Sn  0.698  0.000  0.845
Sn  0.198  0.345  0.500
Sn  0.655  0.500  0.802
Sn  0.302  0.000  0.155
Sn  0.000  0.000  0.000
Sn  0.500  0.198  0.655
Sn  0.500  0.802  0.655
Sn  0.000  0.155  0.698
Sn  0.155  0.698  0.000
Pr  0.250  0.000  0.500
Pr  0.000  0.500  0.250
Pr  0.500  0.750  0.000
Pr  0.000  0.500  0.750
Pr  0.750  0.000  0.500
Pr  0.500  0.250  0.000

***

no.,formation energy from the elements (meV/atom),D(E_F) (states/eV/atom)
1,-239,0.91
2,-598,0.76
3,-406,0.83
4,-130,0.99
5,-244,0.77
6,-370,1.17
7,-2,0.81
8,-432,0.50